No. 1
The following is a DFT calculation (PBE-GGA) of a geometry-optimized Ti3SiSe3 structure.

Computed properties:
Crystal system = cubic
Electronic total energy = -185.0 eV per cell
Density = 5.06 g cm⁻³
Total moment = 0.00 μB/f.u.
Volume = 19.17 Å³ per atom

Cell lengths 8.867, 8.867, 8.867 Å; angles 109.47, 109.47, 109.47 degrees
Atoms (fractional coordinates):
Ti  0.511  0.255  0.005
Ti  0.995  0.750  0.005
Ti  0.505  0.011  0.255
Ti  0.250  0.005  0.495
Ti  0.755  0.005  0.011
Ti  0.745  0.489  0.495
Ti  0.755  0.750  0.245
Ti  0.250  0.245  0.255
Ti  0.745  0.255  0.750
Ti  0.995  0.245  0.489
Ti  0.989  0.495  0.245
Ti  0.505  0.495  0.750
Se  0.247  0.997  0.993
Se  0.007  0.503  0.753
Se  0.497  0.993  0.747
Se  0.497  0.503  0.250
Se  0.003  0.250  0.997
Se  0.253  0.747  0.250
Se  0.247  0.250  0.753
Se  0.253  0.507  0.503
Se  0.493  0.747  0.997
Se  0.750  0.997  0.503
Se  0.750  0.753  0.747
Se  0.003  0.753  0.507
Si  0.000  0.000  0.250
Si  0.750  0.250  0.250
Si  0.750  0.500  0.000
Si  0.500  0.250  0.500


No. 2
The following is a DFT calculation (PBE-GGA) of a geometry-optimized TiSi3Se structure.

Computed properties:
Crystal system = cubic
Density = 3.36 g cm⁻³
Energy above the lowest structure with this stoichiometry = 352 meV per atom
Total moment = 0.00 μB/f.u.
Volume = 20.88 Å³ per atom

Cell lengths 4.709, 4.709, 4.709 Å; angles 90.00, 90.00, 90.00 degrees
Atoms (fractional coordinates):
Si  0.500  0.000  0.000
Si  0.000  0.000  0.500
Si  0.000  0.500  0.000
Ti  0.500  0.500  0.500
Se  0.000  0.000  0.000


No. 3
The following is a DFT calculation (PBE-GGA) of a geometry-optimized TiSi2Se8 structure.

Computed properties:
Crystal system = trigonal
Electronic total energy = -47.4 eV per cell
Density = 4.18 g cm⁻³
Total moment = 0.00 μB/f.u.
Volume = 26.57 Å³ per atom

Cell lengths 6.802, 7.044, 7.044 Å; angles 120.00, 90.00, 90.00 degrees
Atoms (fractional coordinates):
Se  0.758  0.849  0.151
Se  0.242  0.151  0.849
Se  0.832  0.333  0.667
Se  0.758  0.849  0.698
Se  0.242  0.698  0.849
Se  0.168  0.667  0.333
Se  0.242  0.151  0.302
Se  0.758  0.302  0.151
Si  0.166  0.333  0.667
Si  0.834  0.667  0.333
Ti  0.500  0.000  0.000


No. 4
The following is a DFT calculation (PBE-GGA) of a geometry-optimized TiSi3Se structure.

Computed properties:
Crystal system = cubic
Density = 3.07 g cm⁻³
Energy above the lowest structure with this stoichiometry = 0 meV per atom
Total moment = 0.00 μB/f.u.
Volume = 22.84 Å³ per atom

Cell lengths 4.852, 4.852, 4.852 Å; angles 90.00, 90.00, 90.00 degrees
Atoms (fractional coordinates):
Ti  0.000  0.000  0.000
Se  0.500  0.500  0.500
Si  0.000  0.500  0.000
Si  0.000  0.000  0.500
Si  0.500  0.000  0.000


No. 5
The following is a DFT calculation (PBE-GGA) of a geometry-optimized TiTl2SiSe4 structure.

Computed properties:
Crystal system = orthorhombic
Electronic total energy = -72.4 eV per cell
Density = 5.35 g cm⁻³
Total moment = 0.00 μB/f.u.
Volume = 31.05 Å³ per atom

Cell lengths 6.662, 7.231, 12.087 Å; angles 82.71, 74.00, 62.57 degrees
Atoms (fractional coordinates):
Ti  0.750  0.500  0.500
Ti  0.000  0.000  0.000
Se  0.149  0.303  0.392
Se  0.906  0.803  0.892
Se  0.601  0.197  0.108
Se  0.202  0.197  0.892
Se  0.844  0.697  0.608
Se  0.548  0.303  0.608
Se  0.291  0.803  0.108
Se  0.459  0.697  0.392
Tl  0.177  0.000  0.646
Tl  0.927  0.500  0.146
Tl  0.573  0.500  0.854
Tl  0.823  0.000  0.354
Si  0.500  0.000  0.000
Si  0.250  0.500  0.500


No. 6
The following is a DFT calculation (PBE-GGA) of a geometry-optimized TiV2SiSe structure.

Computed properties:
Crystal system = tetragonal
Electronic total energy = -31.0 eV per cell
Density = 4.45 g cm⁻³
Total moment = 1.90 μB/f.u.
Volume = 19.17 Å³ per atom

Cell lengths 4.427, 4.891, 4.427 Å; angles 90.00, 90.00, 90.00 degrees
Each line ends with the local moment (μB).
Atoms (fractional coordinates):
Ti  0.500  0.500  0.500  -0.34
Si  0.000  0.500  0.000  0.00
V  0.500  0.000  0.000  1.00
V  0.000  0.000  0.500  1.10
Se  0.000  0.000  0.000  -0.03


No. 7
The following is a DFT calculation (PBE-GGA) of a geometry-optimized Tl3SiSe structure.

Computed properties:
Crystal system = cubic
Density = 7.74 g cm⁻³
Energy above the lowest structure with this stoichiometry = 0 meV per atom
Total moment = 0.00 μB/f.u.
Volume = 30.91 Å³ per atom

Cell lengths 5.367, 5.367, 5.367 Å; angles 90.00, 90.00, 90.00 degrees
Atoms (fractional coordinates):
Se  0.500  0.500  0.500
Tl  0.000  0.500  0.000
Tl  0.000  0.000  0.500
Tl  0.500  0.000  0.000
Si  0.000  0.000  0.000


No. 8
The following is a DFT calculation (PBE-GGA) of a geometry-optimized Tl4SiSe6 structure.

Computed properties:
Crystal system = monoclinic
Electronic total energy = -79.2 eV per cell
Density = 5.85 g cm⁻³
Total moment = 0.00 μB/f.u.
Volume = 34.07 Å³ per atom

Cell lengths 9.450, 7.884, 13.596 Å; angles 70.47, 69.66, 53.18 degrees
Atoms (fractional coordinates):
Si  0.681  0.802  0.400
Si  0.117  0.302  0.900
Se  0.927  0.003  0.603
Se  0.029  0.066  0.947
Se  0.915  0.623  0.963
Se  0.967  0.155  0.262
Se  0.505  0.660  0.472
Se  0.616  0.655  0.762
Se  0.959  0.566  0.447
Se  0.216  0.355  0.719
Se  0.467  0.503  0.103
Se  0.710  0.855  0.219
Se  0.498  0.123  0.463
Se  0.363  0.160  0.972
Tl  0.733  0.234  0.450
Tl  0.905  0.662  0.641
Tl  0.269  0.954  0.667
Tl  0.582  0.734  0.950
Tl  0.274  0.673  0.330
Tl  0.792  0.162  0.141
Tl  0.110  0.454  0.167
Tl  0.724  0.173  0.830


No. 9
The following is a DFT calculation (PBE-GGA) of a geometry-optimized Tl3SiSe4 structure.

Computed properties:
Crystal system = orthorhombic
Density = 5.81 g cm⁻³
Energy above the lowest structure with this stoichiometry = 27 meV per atom
Total moment = 0.00 μB/f.u.
Volume = 34.18 Å³ per atom

Cell lengths 6.490, 7.863, 10.717 Å; angles 90.00, 90.00, 90.00 degrees
Atoms (fractional coordinates):
Se  0.081  0.908  0.000
Se  0.575  0.696  0.685
Se  0.581  0.092  0.500
Se  0.613  0.185  0.000
Se  0.075  0.304  0.185
Se  0.113  0.815  0.500
Se  0.075  0.304  0.815
Se  0.575  0.696  0.315
Tl  0.072  0.199  0.500
Tl  0.565  0.308  0.262
Tl  0.065  0.692  0.238
Tl  0.565  0.308  0.738
Tl  0.065  0.692  0.762
Tl  0.572  0.801  0.000
Si  0.468  0.814  0.500
Si  0.968  0.186  0.000


No. 10
The following is a DFT calculation (PBE-GGA) of a geometry-optimized Tl5Si2Se6 structure.

Computed properties:
Crystal system = monoclinic
Electronic total energy = -97.7 eV per cell
Density = 6.19 g cm⁻³
Total moment = 0.00 μB/f.u.
Volume = 32.03 Å³ per atom

Cell lengths 7.438, 7.438, 17.750 Å; angles 74.08, 74.08, 63.64 degrees
Atoms (fractional coordinates):
Tl  0.212  0.788  0.750
Tl  0.284  0.844  0.952
Tl  0.716  0.156  0.048
Tl  0.844  0.284  0.452
Tl  0.288  0.151  0.264
Tl  0.156  0.716  0.548
Tl  0.849  0.712  0.236
Tl  0.151  0.288  0.764
Tl  0.712  0.849  0.736
Tl  0.788  0.212  0.250
Se  0.708  0.491  0.888
Se  0.419  0.219  0.426
Se  0.781  0.581  0.074
Se  0.219  0.419  0.926
Se  0.509  0.292  0.612
Se  0.047  0.192  0.620
Se  0.491  0.708  0.388
Se  0.581  0.781  0.574
Se  0.292  0.509  0.112
Se  0.192  0.047  0.120
Se  0.953  0.808  0.380
Se  0.808  0.953  0.880
Si  0.132  0.377  0.066
Si  0.623  0.868  0.434
Si  0.377  0.132  0.566
Si  0.868  0.623  0.934


No. 11
The following is a DFT calculation (PBE-GGA) of a geometry-optimized Tl3SiSe4 structure.

Computed properties:
Crystal system = orthorhombic
Density = 6.57 g cm⁻³
Energy above the lowest structure with this stoichiometry = 0 meV per atom
Total moment = 0.00 μB/f.u.
Volume = 30.24 Å³ per atom

Cell lengths 9.347, 9.579, 10.808 Å; angles 90.00, 90.00, 90.00 degrees
Atoms (fractional coordinates):
Se  0.328  0.474  0.425
Se  0.670  0.728  0.250
Se  0.672  0.526  0.575
Se  0.170  0.772  0.250
Se  0.022  0.564  0.750
Se  0.172  0.974  0.925
Se  0.830  0.228  0.750
Se  0.522  0.936  0.750
Se  0.978  0.436  0.250
Se  0.172  0.974  0.575
Se  0.672  0.526  0.925
Se  0.330  0.272  0.750
Se  0.478  0.064  0.250
Se  0.328  0.474  0.075
Se  0.828  0.026  0.425
Se  0.828  0.026  0.075
Tl  0.414  0.805  0.443
Tl  0.414  0.805  0.057
Tl  0.086  0.305  0.557
Tl  0.922  0.886  0.750
Tl  0.914  0.695  0.057
Tl  0.422  0.614  0.750
Tl  0.578  0.386  0.250
Tl  0.586  0.195  0.943
Tl  0.086  0.305  0.943
Tl  0.914  0.695  0.443
Tl  0.078  0.114  0.250
Tl  0.586  0.195  0.557
Si  0.298  0.033  0.750
Si  0.798  0.467  0.750
Si  0.202  0.533  0.250
Si  0.702  0.967  0.250


No. 12
The following is a DFT calculation (PBE-GGA) of a geometry-optimized Tl2Si2Se5 structure.

Computed properties:
Crystal system = monoclinic
Electronic total energy = -35.1 eV per cell
Density = 5.62 g cm⁻³
Total moment = 0.00 μB/f.u.
Volume = 28.22 Å³ per atom

Cell lengths 5.315, 6.918, 7.567 Å; angles 98.04, 90.00, 112.59 degrees
Atoms (fractional coordinates):
Si  0.838  0.677  0.122
Si  0.162  0.323  0.878
Se  0.000  0.000  0.000
Se  0.681  0.362  0.928
Se  0.152  0.304  0.584
Se  0.848  0.696  0.416
Se  0.319  0.638  0.072
Tl  0.409  0.819  0.676
Tl  0.591  0.181  0.324


No. 13
The following is a DFT calculation (PBE-GGA) of a geometry-optimized TlSiSe4 structure.

Computed properties:
Crystal system = cubic
Density = 6.50 g cm⁻³
Energy above the lowest structure with this stoichiometry = 655 meV per atom
Total moment = 0.02 μB/f.u.
Volume = 23.36 Å³ per atom

Cell lengths 5.831, 5.831, 5.831 Å; angles 60.00, 60.00, 60.00 degrees
Atoms (fractional coordinates):
Si  0.750  0.750  0.750
Se  0.872  0.376  0.376
Se  0.376  0.376  0.872
Se  0.376  0.872  0.376
Se  0.376  0.376  0.376
Tl  0.000  0.000  0.000


No. 14
The following is a DFT calculation (PBE-GGA) of a geometry-optimized Tl3SiSe3 structure.

Computed properties:
Crystal system = orthorhombic
Electronic total energy = -49.7 eV per cell
Density = 5.79 g cm⁻³
Total moment = 0.00 μB/f.u.
Volume = 35.97 Å³ per atom

Cell lengths 6.682, 9.320, 9.320 Å; angles 119.81, 90.00, 90.00 degrees
Atoms (fractional coordinates):
Tl  0.750  0.409  0.205
Tl  0.250  0.591  0.795
Tl  0.750  0.796  0.204
Tl  0.250  0.204  0.409
Tl  0.250  0.204  0.796
Tl  0.750  0.796  0.591
Si  0.250  0.667  0.333
Si  0.750  0.333  0.667
Se  0.250  0.806  0.193
Se  0.250  0.806  0.611
Se  0.750  0.194  0.807
Se  0.750  0.194  0.389
Se  0.750  0.611  0.805
Se  0.250  0.389  0.195


No. 15
The following is a DFT calculation (PBE-GGA) of a geometry-optimized TlSiSe4 structure.

Computed properties:
Crystal system = triclinic
Density = 6.01 g cm⁻³
Energy above the lowest structure with this stoichiometry = 0 meV per atom
Total moment = 0.00 μB/f.u.
Volume = 25.23 Å³ per atom

Cell lengths 6.263, 6.231, 8.720 Å; angles 106.19, 111.16, 90.01 degrees
Atoms (fractional coordinates):
Si  0.500  0.000  0.500
Si  0.000  0.500  0.500
Se  0.407  0.917  0.201
Se  0.343  0.572  0.410
Se  0.657  0.428  0.590
Se  0.934  0.927  0.590
Se  0.207  0.583  0.799
Se  0.793  0.417  0.201
Se  0.593  0.083  0.799
Se  0.066  0.073  0.410
Tl  0.236  0.250  0.000
Tl  0.764  0.750  0.000


No. 16
The following is a DFT calculation (PBE-GGA) of a geometry-optimized TmTlSiSe4 structure.

Computed properties:
Crystal system = monoclinic
Electronic total energy = -65.9 eV per cell
Density = 6.06 g cm⁻³
Total moment = 0.00 μB/f.u.
Volume = 28.10 Å³ per atom

Cell lengths 6.629, 6.921, 8.995 Å; angles 90.00, 107.60, 90.00 degrees
Atoms (fractional coordinates):
Tl  0.241  0.250  0.062
Tl  0.759  0.750  0.938
Se  0.993  0.005  0.290
Se  0.433  0.750  0.582
Se  0.007  0.505  0.710
Se  0.007  0.995  0.710
Se  0.424  0.750  0.164
Se  0.567  0.250  0.418
Se  0.993  0.495  0.290
Se  0.576  0.250  0.836
Si  0.774  0.250  0.671
Si  0.226  0.750  0.329
Tm  0.231  0.250  0.553
Tm  0.769  0.750  0.447


No. 17
The following is a DFT calculation (PBE-GGA) of a geometry-optimized Tl2VSiSe4 structure.

Computed properties:
Crystal system = orthorhombic
Electronic total energy = -72.5 eV per cell
Density = 5.40 g cm⁻³
Total moment = 2.86 μB/f.u.
Volume = 30.87 Å³ per atom

Cell lengths 6.356, 7.153, 12.535 Å; angles 83.53, 75.31, 63.62 degrees
Each line ends with the local moment (μB).
Atoms (fractional coordinates):
V  0.750  0.500  0.500  2.32
V  0.000  0.000  0.000  2.32
Tl  0.559  0.500  0.882  0.02
Tl  0.809  0.000  0.382  0.02
Tl  0.941  0.500  0.118  0.02
Tl  0.191  0.000  0.618  0.02
Si  0.500  0.000  0.000  0.03
Si  0.250  0.500  0.500  0.03
Se  0.523  0.299  0.604  -0.02
Se  0.877  0.799  0.896  -0.02
Se  0.572  0.201  0.104  -0.02
Se  0.427  0.701  0.396  -0.02
Se  0.323  0.799  0.104  -0.02
Se  0.178  0.299  0.396  -0.02
Se  0.227  0.201  0.896  -0.02
Se  0.873  0.701  0.604  -0.02


No. 18
The following is a DFT calculation (PBE-GGA) of a geometry-optimized Y8Tl4SiSe3 structure.

Computed properties:
Crystal system = trigonal
Electronic total energy = -92.4 eV per cell
Density = 6.84 g cm⁻³
Total moment = 0.00 μB/f.u.
Volume = 27.22 Å³ per atom

Cell lengths 7.975, 9.150, 7.974 Å; angles 115.84, 120.00, 90.00 degrees
Atoms (fractional coordinates):
Se  0.500  0.500  0.500
Se  0.500  0.500  0.000
Se  0.000  0.500  0.500
Tl  0.000  0.000  0.500
Tl  0.500  0.000  0.000
Tl  0.500  0.000  0.500
Tl  0.000  0.000  0.000
Y  0.741  0.722  0.482
Y  0.259  0.278  0.518
Y  0.766  0.286  0.019
Y  0.234  0.714  0.468
Y  0.766  0.286  0.532
Y  0.234  0.714  0.981
Y  0.746  0.714  0.981
Y  0.254  0.286  0.019
Si  0.000  0.500  0.000


No. 19
The following is a DFT calculation (PBE-GGA) of a geometry-optimized YTlSiSe4 structure.

Computed properties:
Crystal system = monoclinic
Electronic total energy = -70.2 eV per cell
Density = 5.32 g cm⁻³
Total moment = 0.00 μB/f.u.
Volume = 28.44 Å³ per atom

Cell lengths 6.698, 6.918, 9.008 Å; angles 90.00, 107.49, 90.00 degrees
Atoms (fractional coordinates):
Si  0.224  0.750  0.326
Si  0.776  0.250  0.674
Y  0.233  0.250  0.554
Y  0.767  0.750  0.446
Se  0.994  0.494  0.286
Se  0.579  0.250  0.839
Se  0.006  0.994  0.714
Se  0.006  0.506  0.714
Se  0.575  0.250  0.420
Se  0.425  0.750  0.580
Se  0.421  0.750  0.161
Se  0.994  0.006  0.286
Tl  0.755  0.750  0.936
Tl  0.245  0.250  0.064